# PBE InHgPt, relaxed
data_InHgPt
_cell_length_a 5.2337
_cell_length_b 5.2337
_cell_length_c 5.2337
_cell_angle_alpha 139.65
_cell_angle_beta 139.65
_cell_angle_gamma 58.39
_space_group_name_H-M_alt 'P 1'
_space_group_IT_number 1
loop_
_space_group_symop_operation_xyz
'x,y,z'
loop_
_atom_site_label
_atom_site_type_symbol
_atom_site_fract_x
_atom_site_fract_y
_atom_site_fract_z
In1 In 0.0000 0.0000 0.0000
Hg1 Hg 0.3182 0.3182 0.0000
Pt1 Pt 0.6446 0.6446 0.0000
# - DFT total energy (eV/cell) = -9.36
# - N(E_F) (states/eV/cell) = 0.5
# - calculated volume (Å³/cell) = 59.5
# - magnetization (μB/cell) = 0.0

***

# PBE Y2ZrCr, relaxed
data_Y2ZrCr
_cell_length_a 4.8120
_cell_length_b 4.8120
_cell_length_c 4.3865
_cell_angle_alpha 90.00
_cell_angle_beta 90.00
_cell_angle_gamma 90.00
_space_group_name_H-M_alt 'P 1'
_space_group_IT_number 1
loop_
_space_group_symop_operation_xyz
'x,y,z'
loop_
_atom_site_label
_atom_site_type_symbol
_atom_site_fract_x
_atom_site_fract_y
_atom_site_fract_z
Y1 Y 0.0000 0.5000 0.0000
Y2 Y 0.5000 0.0000 0.0000
Zr1 Zr 0.0000 0.0000 0.5000
Cr1 Cr 0.5000 0.5000 0.5000
# - N(E_F) (states/eV/cell) = 5.1
# - calculated volume (Å³/cell) = 101.6
# - energy above the most stable polymorph in this dataset (eV/atom) = 0.1251
# - magnetization (μB/cell) = 2.2

***

# PBE Li2Ho2PaTe6, relaxed
data_Li2Ho2PaTe6
_cell_length_a 7.4960
_cell_length_b 7.4960
_cell_length_c 7.5219
_cell_angle_alpha 99.65
_cell_angle_beta 99.65
_cell_angle_gamma 119.73
_space_group_name_H-M_alt 'P 1'
_space_group_IT_number 1
loop_
_space_group_symop_operation_xyz
'x,y,z'
loop_
_atom_site_label
_atom_site_type_symbol
_atom_site_fract_x
_atom_site_fract_y
_atom_site_fract_z
Li1 Li 0.1675 0.8325 0.0000
Li2 Li 0.8325 0.1675 0.0000
Ho1 Ho 0.3336 0.6664 0.5000
Ho2 Ho 0.6664 0.3336 0.5000
Pa1 Pa 0.0000 0.0000 0.5000
Te1 Te 0.0842 0.4177 0.7537
Te2 Te 0.2478 0.2478 0.2471
Te3 Te 0.4177 0.0842 0.7537
Te4 Te 0.5823 0.9158 0.2463
Te5 Te 0.7522 0.7522 0.7529
Te6 Te 0.9158 0.5823 0.2463
# - DFT total energy (eV/cell) = -53.90
# - N(E_F) (states/eV/cell) = 3.6
# - calculated volume (Å³/cell) = 346.0
# - magnetization (μB/cell) = 1.0

***

# PBE Ba2LiPtAu, relaxed
data_Ba2LiPtAu
_cell_length_a 6.0620
_cell_length_b 6.0620
_cell_length_c 4.7686
_cell_angle_alpha 90.00
_cell_angle_beta 90.00
_cell_angle_gamma 90.00
_space_group_name_H-M_alt 'P 1'
_space_group_IT_number 1
loop_
_space_group_symop_operation_xyz
'x,y,z'
loop_
_atom_site_label
_atom_site_type_symbol
_atom_site_fract_x
_atom_site_fract_y
_atom_site_fract_z
Ba1 Ba 0.0000 0.5000 0.0000
Ba2 Ba 0.5000 0.0000 0.0000
Li1 Li 0.0000 0.0000 0.5000
Pt1 Pt 0.0000 0.0000 0.0000
Au1 Au 0.5000 0.5000 0.5000
# - N(E_F) (states/eV/cell) = 2.7
# - calculated volume (Å³/cell) = 175.2
# - energy above the most stable polymorph in this dataset (eV/atom) = 0.1488
# - magnetization (μB/cell) = 0.0